Record 1
DFT (PBE) results for a relaxed Mn3Ni2H4 crystal.

The structure in POSCAR format:
```
Mn3Ni2H4
1.0
2.553 0.000 0.000
-1.277 4.710 0.198
0.000 -1.728 5.653
H Ni Mn
4 2 3
Cartesian
0.000 1.738 5.757
1.277 2.940 4.055
1.277 1.244 0.094
0.000 0.041 1.797
0.000 1.649 3.996
1.277 1.332 1.856
0.000 0.000 0.000
0.000 3.431 2.076
1.277 -0.449 3.776
```

## Properties
SG: C2/m (12)
DFT total energy: -5.698 eV per atom

Record 2
DFT (PBE) results for a relaxed Ce2Pr3PuSe6 crystal.

The structure in POSCAR format:
```
Ce2Pr3PuSe6
1.0
-5.088 -0.591 -5.209
7.045 -1.027 -1.639
-1.309 -6.212 3.689
Pu Se Ce Pr
1 6 2 3
Cartesian
0.000 0.000 0.000
-0.503 -5.104 1.085
2.491 -5.995 -1.778
2.171 -1.979 -0.199
1.150 -2.725 -4.243
-1.523 -5.851 -2.959
-1.843 -1.834 -1.380
2.997 -0.882 -2.830
-1.040 -0.736 -4.017
0.324 -3.915 -1.579
-3.718 -3.769 -2.768
4.365 -4.060 -0.390
```

## Properties
SG: C2/m (12)
DFT total energy: -6.917 eV per atom
Uncorrected formation energy: -1796.7 meV/atom

Q: Which of these has the lowest DFT total energy?
A: Ce2Pr3PuSe6